Computed, not measured: a relaxed structure of Fe2Tc2Ag at the PBE level of DFT.

Geometry as POSCAR:
```
Fe2Tc2Ag
1.0
7.173 0.000 0.000
0.000 7.173 0.000
0.000 0.000 2.660
Tc Ag Fe
4 2 4
Cartesian
1.197 4.783 1.330
4.783 5.976 1.330
5.976 2.390 1.330
2.390 1.197 1.330
0.000 0.000 0.000
3.587 3.587 0.000
2.710 6.297 0.000
6.297 4.463 0.000
4.463 0.876 0.000
0.876 2.710 0.000
```

Summary:
- formation energy (meV/atom) = 275
- density of states at the Fermi level (states/eV/cell) = 11.9
- energy above the lowest structure with this stoichiometry (eV/atom) = 0.000
- VASP energy (eV/atom) = -7.827
- space group = P4/mbm (127)



Computed, not measured: a relaxed structure of Fe2Tc2Ag at the PBE level of DFT.

Geometry as POSCAR:
```
Fe2Tc2Ag
1.0
-3.739 6.263 -0.792
-0.821 0.430 7.279
2.235 1.356 0.172
Tc Ag Fe
4 2 4
Cartesian
-2.123 2.728 6.075
-3.787 5.752 3.852
-2.437 3.965 0.412
-0.774 0.941 2.635
0.000 0.000 0.000
-2.280 3.347 3.243
-0.049 2.003 4.801
-2.057 5.207 5.630
-2.276 6.046 1.858
-0.268 2.842 1.029
```

Summary:
- formation energy (meV/atom) = 350
- density of states at the Fermi level (states/eV/cell) = 7.1
- energy above the lowest structure with this stoichiometry (eV/atom) = 0.075
- VASP energy (eV/atom) = -7.752
- space group = P4/mbm (127)



Computed, not measured: a relaxed structure of Fe2TcAg at the PBE level of DFT.

Geometry as POSCAR:
```
Fe2TcAg
1.0
2.630 -0.004 0.000
-0.818 2.499 0.000
0.000 0.000 8.653
Ag Fe Tc
1 2 1
Cartesian
0.906 1.248 6.490
0.000 0.000 0.111
0.000 0.000 4.216
0.906 1.248 2.163
```

Summary:
- formation energy (meV/atom) = 302
- density of states at the Fermi level (states/eV/cell) = 3.5
- energy above the lowest structure with this stoichiometry (eV/atom) = 0.005
- VASP energy (eV/atom) = -7.233
- space group = Cmmm (65)



Computed, not measured: a relaxed structure of FeTc4Ag at the PBE level of DFT.

Geometry as POSCAR:
```
FeTc4Ag
1.0
0.000 3.619 3.619
3.619 0.000 3.619
3.619 3.619 0.000
Fe Tc Ag
1 4 1
Cartesian
0.000 0.000 0.000
2.715 2.715 4.523
2.715 4.523 2.715
4.523 4.523 4.523
4.523 2.715 2.715
1.809 1.809 1.809
```

Summary:
- formation energy (meV/atom) = 565
- density of states at the Fermi level (states/eV/cell) = 6.9
- VASP energy (eV/atom) = -8.232
- space group = F-43m (216)



Computed, not measured: a relaxed structure of Fe2TcAg at the PBE level of DFT.

Geometry as POSCAR:
```
Fe2TcAg
1.0
4.064 0.000 0.000
0.000 2.618 0.022
0.000 1.608 5.294
Ag Fe Tc
1 2 1
Cartesian
2.032 3.241 4.052
0.000 0.165 0.107
2.032 0.959 1.356
0.000 1.973 2.459
```

Summary:
- formation energy (meV/atom) = 380
- density of states at the Fermi level (states/eV/cell) = 3.5
- energy above the lowest structure with this stoichiometry (eV/atom) = 0.083
- VASP energy (eV/atom) = -7.155
- space group = Pm (6)



Computed, not measured: a relaxed structure of Fe2TcAg at the PBE level of DFT.

Geometry as POSCAR:
```
Fe2TcAg
1.0
-0.272 2.221 -1.533
-2.986 0.980 1.949
3.257 2.852 3.555
Ag Fe Tc
1 2 1
Cartesian
0.814 3.739 2.875
0.117 0.103 0.128
1.511 1.323 1.650
-0.815 2.313 1.097
```

Summary:
- formation energy (meV/atom) = 350
- density of states at the Fermi level (states/eV/cell) = 3.8
- energy above the lowest structure with this stoichiometry (eV/atom) = 0.053
- VASP energy (eV/atom) = -7.185
- space group = Pmmm (47)



Computed, not measured: a relaxed structure of Fe2TcAg at the PBE level of DFT.

Geometry as POSCAR:
```
Fe2TcAg
1.0
4.681 0.028 0.000
1.635 4.387 0.000
-3.158 -2.208 2.659
Ag Fe Tc
1 2 1
Cartesian
2.341 0.014 1.329
0.000 0.000 0.000
0.818 2.193 1.329
3.158 2.208 0.000
```

Summary:
- formation energy (meV/atom) = 501
- density of states at the Fermi level (states/eV/cell) = 4.4
- energy above the lowest structure with this stoichiometry (eV/atom) = 0.204
- VASP energy (eV/atom) = -7.034
- space group = I-4m2 (119)



Computed, not measured: a relaxed structure of Fe2TcAg at the PBE level of DFT.

Geometry as POSCAR:
```
Fe2TcAg
1.0
4.548 0.002 0.001
1.191 4.390 -0.001
-2.867 -2.200 2.762
Ag Fe Tc
1 2 1
Cartesian
0.597 2.193 1.381
5.739 4.391 0.000
2.870 2.196 0.000
2.276 -0.001 1.382
```

Summary:
- formation energy (meV/atom) = 473
- density of states at the Fermi level (states/eV/cell) = 5.3
- energy above the lowest structure with this stoichiometry (eV/atom) = 0.176
- VASP energy (eV/atom) = -7.062
- space group = I4/mmm (139)



Computed, not measured: a relaxed structure of Fe2TcAg at the PBE level of DFT.

Geometry as POSCAR:
```
Fe2TcAg
1.0
4.690 0.017 0.000
-1.447 4.461 0.000
0.000 0.000 2.667
Ag Fe Tc
1 2 1
Cartesian
-0.723 2.231 1.334
0.000 0.000 0.000
1.622 2.239 0.000
2.345 0.009 1.334
```

Summary:
- formation energy (meV/atom) = 423
- density of states at the Fermi level (states/eV/cell) = 5.3
- energy above the lowest structure with this stoichiometry (eV/atom) = 0.126
- VASP energy (eV/atom) = -7.113
- space group = Cmmm (65)



Computed, not measured: a relaxed structure of Fe2TcAg at the PBE level of DFT.

Geometry as POSCAR:
```
Fe2TcAg
1.0
-2.208 -0.349 1.471
1.501 -0.190 2.208
-0.534 7.694 1.024
Ag Fe Tc
1 2 1
Cartesian
-0.754 5.502 2.607
-0.010 0.141 0.019
-0.257 3.706 0.493
-0.487 1.654 2.095
```

Summary:
- formation energy (meV/atom) = 299
- density of states at the Fermi level (states/eV/cell) = 4.6
- energy above the lowest structure with this stoichiometry (eV/atom) = 0.002
- VASP energy (eV/atom) = -7.236
- space group = P4/mmm (123)



Computed, not measured: a relaxed structure of Fe2TcAg at the PBE level of DFT.

Geometry as POSCAR:
```
Fe2TcAg
1.0
4.448 0.000 0.000
0.000 4.448 0.000
0.000 0.000 2.857
Ag Fe Tc
1 2 1
Cartesian
0.000 2.224 1.428
0.000 0.000 0.000
2.224 2.224 0.000
2.224 0.000 1.428
```

Summary:
- formation energy (meV/atom) = 456
- density of states at the Fermi level (states/eV/cell) = 4.0
- energy above the lowest structure with this stoichiometry (eV/atom) = 0.159
- VASP energy (eV/atom) = -7.080
- space group = P4/mmm (123)



Computed, not measured: a relaxed structure of Fe3TcAg at the PBE level of DFT.

Geometry as POSCAR:
```
Fe3TcAg
1.0
4.454 0.000 0.000
0.000 4.454 0.000
0.000 0.000 4.454
Tc Ag Fe
1 1 3
Cartesian
0.000 0.000 0.000
2.227 2.227 2.227
0.000 2.227 0.000
0.000 0.000 2.227
2.227 0.000 0.000
```

Summary:
- formation energy (meV/atom) = 1387
- density of states at the Fermi level (states/eV/cell) = 5.8
- energy above the lowest structure with this stoichiometry (eV/atom) = 0.000
- VASP energy (eV/atom) = -6.334
- space group = Pm-3m (221)



Computed, not measured: a relaxed structure of Fe2TcAg at the PBE level of DFT.

Geometry as POSCAR:
```
Fe2TcAg
1.0
6.606 0.000 0.000
0.000 6.606 0.000
3.303 3.303 2.697
Tc Ag Fe
2 2 4
Cartesian
3.303 3.303 0.000
3.303 6.606 1.348
0.000 0.000 0.000
6.606 3.303 1.348
4.675 1.652 0.674
1.931 4.955 0.674
4.955 5.234 2.023
8.258 7.978 2.023
```

Summary:
- formation energy (meV/atom) = 859
- density of states at the Fermi level (states/eV/cell) = 1.9
- energy above the lowest structure with this stoichiometry (eV/atom) = 0.561
- VASP energy (eV/atom) = -6.677
- space group = I-42d (122)



Computed, not measured: a relaxed structure of Fe2TcAg at the PBE level of DFT.

Geometry as POSCAR:
```
Fe2TcAg
1.0
4.826 0.016 0.085
4.031 2.652 0.085
1.274 0.384 4.366
Ag Fe Tc
1 2 1
Cartesian
2.583 0.778 0.986
0.205 0.062 0.035
7.444 2.243 3.308
4.965 1.496 2.476
```

Summary:
- formation energy (meV/atom) = 398
- density of states at the Fermi level (states/eV/cell) = 3.6
- energy above the lowest structure with this stoichiometry (eV/atom) = 0.101
- VASP energy (eV/atom) = -7.137
- space group = Cm (8)



Computed, not measured: a relaxed structure of Fe2TcAg at the PBE level of DFT.

Geometry as POSCAR:
```
Fe2TcAg
1.0
-2.807 3.316 -2.825
-4.850 -1.268 -1.315
3.459 0.964 3.737
Ag Fe Tc
1 2 1
Cartesian
-2.529 0.338 0.220
-7.483 2.001 -4.046
-1.672 2.674 -0.625
-4.000 1.070 -2.163
```

Summary:
- formation energy (meV/atom) = 424
- density of states at the Fermi level (states/eV/cell) = 3.9
- energy above the lowest structure with this stoichiometry (eV/atom) = 0.127
- VASP energy (eV/atom) = -7.111
- space group = Imm2 (44)



Computed, not measured: a relaxed structure of Fe2TcAg at the PBE level of DFT.

Geometry as POSCAR:
```
Fe2TcAg
1.0
2.619 -0.028 0.000
-0.840 2.481 0.000
0.000 0.000 8.712
Ag Fe Tc
1 2 1
Cartesian
0.889 1.226 6.625
0.000 0.000 0.204
0.889 1.226 2.101
0.000 0.000 4.139
```

Summary:
- formation energy (meV/atom) = 300
- density of states at the Fermi level (states/eV/cell) = 3.6
- energy above the lowest structure with this stoichiometry (eV/atom) = 0.003
- VASP energy (eV/atom) = -7.236
- space group = Cmm2 (35)



Computed, not measured: a relaxed structure of Fe2TcAg at the PBE level of DFT.

Geometry as POSCAR:
```
Fe2TcAg
1.0
2.734 0.000 0.000
0.000 2.730 0.000
0.000 0.000 7.494
Ag Fe Tc
1 2 1
Cartesian
1.367 1.365 5.699
0.000 0.000 0.266
1.367 1.365 1.827
0.000 0.000 3.450
```

Summary:
- formation energy (meV/atom) = 297
- density of states at the Fermi level (states/eV/cell) = 5.4
- energy above the lowest structure with this stoichiometry (eV/atom) = 0.000
- VASP energy (eV/atom) = -7.238
- space group = P4mm (99)



Computed, not measured: a relaxed structure of Fe2TcAg at the PBE level of DFT.

Geometry as POSCAR:
```
Fe2TcAg
1.0
-1.913 7.745 4.247
-1.333 6.239 6.402
0.642 7.469 5.048
Ag Fe Tc
1 2 1
Cartesian
-1.953 16.089 11.773
-2.591 21.352 15.623
-1.314 10.827 7.922
-0.651 5.363 3.924
```

Summary:
- formation energy (meV/atom) = 338
- density of states at the Fermi level (states/eV/cell) = 5.5
- energy above the lowest structure with this stoichiometry (eV/atom) = 0.041
- VASP energy (eV/atom) = -7.197
- space group = R-3m (166)



Computed, not measured: a relaxed structure of FeAgTe2 at the PBE level of DFT.

Geometry as POSCAR:
```
FeAgTe2
1.0
2.164 0.000 8.152
-1.082 1.874 8.152
-1.082 -1.874 8.152
Te Fe Ag
2 1 1
Cartesian
0.000 0.000 21.750
0.000 0.000 2.707
0.000 0.000 12.228
0.000 0.000 0.000
```

Summary:
- density of states at the Fermi level (states/eV/cell) = 3.9
- VASP energy (eV/atom) = -4.349
- space group = R-3m (166)



Computed, not measured: a relaxed structure of FeAgTe2 at the PBE level of DFT.

Geometry as POSCAR:
```
FeAgTe2
1.0
-1.950 2.826 3.530
-1.340 -4.481 1.541
3.149 -0.269 1.955
Ag Fe Te
1 1 2
Cartesian
0.599 1.278 2.743
0.904 -2.375 1.748
0.000 0.000 0.000
-1.645 -0.828 2.536
```

Summary:
- density of states at the Fermi level (states/eV/cell) = 4.0
- VASP energy (eV/atom) = -3.933
- space group = Cmmm (65)



Computed, not measured: a relaxed structure of FeAgTe at the PBE level of DFT.

Geometry as POSCAR:
```
FeAgTe
1.0
4.422 0.000 0.000
2.211 3.830 0.000
2.211 1.277 3.611
Ag Fe Te
1 1 1
Cartesian
4.422 2.553 1.805
6.633 3.830 2.708
0.000 0.000 0.000
```

Summary:
- density of states at the Fermi level (states/eV/cell) = 5.4
- energy above the lowest structure with this stoichiometry (eV/atom) = 0.000
- VASP energy (eV/atom) = -4.572
- space group = F-43m (216)



Computed, not measured: a relaxed structure of FeAgTe2 at the PBE level of DFT.

Geometry as POSCAR:
```
FeAgTe2
1.0
3.243 0.000 0.000
0.000 3.243 0.000
0.000 0.000 8.527
Ag Fe Te
1 1 2
Cartesian
0.000 0.000 4.653
1.621 1.621 6.449
0.000 0.000 7.681
1.621 1.621 2.535
```

Summary:
- density of states at the Fermi level (states/eV/cell) = 4.5
- VASP energy (eV/atom) = -4.150
- space group = P4mm (99)



Computed, not measured: a relaxed structure of FeAgTe at the PBE level of DFT.

Geometry as POSCAR:
```
FeAgTe
1.0
4.360 0.000 0.000
-2.180 3.776 0.000
0.000 0.000 3.739
Ag Fe Te
1 1 1
Cartesian
0.000 0.000 0.000
2.180 1.259 1.871
0.000 2.517 1.867
```

Summary:
- density of states at the Fermi level (states/eV/cell) = 3.7
- energy above the lowest structure with this stoichiometry (eV/atom) = 0.173
- VASP energy (eV/atom) = -4.399
- space group = P-6m2 (187)



Computed, not measured: a relaxed structure of FeAgTe at the PBE level of DFT.

Geometry as POSCAR:
```
FeAgTe
1.0
-0.700 5.291 1.056
-4.221 2.349 2.505
3.563 -4.098 0.340
Ag Fe Te
1 1 1
Cartesian
-4.871 7.562 3.525
-1.568 2.435 1.135
-3.403 5.283 2.463
```

Summary:
- density of states at the Fermi level (states/eV/cell) = 3.8
- energy above the lowest structure with this stoichiometry (eV/atom) = 0.157
- VASP energy (eV/atom) = -4.415
- space group = I4mm (107)



Computed, not measured: a relaxed structure of FeAgTe2 at the PBE level of DFT.

Geometry as POSCAR:
```
FeAgTe2
1.0
11.686 0.054 0.032
11.254 3.150 0.032
11.254 1.572 2.730
Te Fe Ag
2 1 1
Cartesian
31.639 4.419 2.584
2.555 0.357 0.209
0.000 0.000 0.000
17.097 2.388 1.397
```

Summary:
- density of states at the Fermi level (states/eV/cell) = 5.1
- VASP energy (eV/atom) = -3.833
- space group = R-3m (166)



Computed, not measured: a relaxed structure of FeAgTe2 at the PBE level of DFT.

Geometry as POSCAR:
```
FeAgTe2
1.0
3.716 0.010 0.016
1.850 3.223 0.016
1.823 1.059 7.488
Ag Fe Te
1 1 2
Cartesian
5.542 3.219 5.640
1.847 1.073 1.880
5.563 3.232 0.304
3.697 2.147 3.487
```

Summary:
- density of states at the Fermi level (states/eV/cell) = 3.0
- VASP energy (eV/atom) = -4.323
- space group = R-3m (166)



Computed, not measured: a relaxed structure of FeAgTe3 at the PBE level of DFT.

Geometry as POSCAR:
```
FeAgTe3
1.0
5.402 0.000 0.000
0.000 5.402 0.000
0.000 0.000 5.402
Te Fe Ag
3 1 1
Cartesian
0.000 2.701 0.000
0.000 0.000 2.701
2.701 0.000 0.000
2.701 2.701 2.701
0.000 0.000 0.000
```

Summary:
- density of states at the Fermi level (states/eV/cell) = 11.5
- energy above the lowest structure with this stoichiometry (eV/atom) = 0.494
- VASP energy (eV/atom) = -3.104
- space group = Pm-3m (221)



Computed, not measured: a relaxed structure of FeAgTe2 at the PBE level of DFT.

Geometry as POSCAR:
```
FeAgTe2
1.0
3.721 0.000 0.000
0.000 3.148 -0.123
0.000 3.853 7.853
Ag Fe Te
1 1 2
Cartesian
1.860 1.750 1.933
1.860 5.251 5.798
0.000 6.097 7.514
0.000 4.405 4.081
```

Summary:
- density of states at the Fermi level (states/eV/cell) = 3.2
- VASP energy (eV/atom) = -4.128
- space group = P2/m (10)



Computed, not measured: a relaxed structure of FeAgTe2 at the PBE level of DFT.

Geometry as POSCAR:
```
FeAgTe2
1.0
5.051 0.000 0.000
2.526 4.375 0.000
2.526 1.458 4.124
Ag Fe Te
1 1 2
Cartesian
5.051 2.916 2.062
7.577 4.375 3.093
0.000 0.000 0.000
2.526 1.458 1.031
```

Summary:
- density of states at the Fermi level (states/eV/cell) = 5.5
- VASP energy (eV/atom) = -3.700
- space group = F-43m (216)



Computed, not measured: a relaxed structure of FeAgTe3 at the PBE level of DFT.

Geometry as POSCAR:
```
FeAgTe3
1.0
-4.556 2.190 -0.275
-2.207 -4.516 0.600
0.014 0.660 5.019
Te Fe Ag
3 1 1
Cartesian
-1.104 -2.258 0.300
0.007 0.330 2.509
-2.278 1.095 -0.137
0.000 0.000 0.000
-3.374 -0.833 2.672
```

Summary:
- density of states at the Fermi level (states/eV/cell) = 8.3
- energy above the lowest structure with this stoichiometry (eV/atom) = 0.000
- VASP energy (eV/atom) = -3.598
- space group = Pm-3m (221)